VASP calculation (PBE) on a relaxed Li8Mg3Zn3 crystal.

The structure in extended XYZ format:
```
14
Lattice="4.1598 0.0000 -0.8679 -1.0393 9.4364 -4.9813 -0.5461 -2.0405 7.7856" Properties=species:S:1:pos:R:3 pbc="T T T"
Zn -0.8891 8.0733 -4.2617
Li 2.1316 2.7231 -0.1862
Li -0.1240 4.1323 -0.5942
Li 1.5337 8.1517 -3.0518
Mg 1.5603 4.7182 -2.9246
Li 1.0407 -0.7558 4.9882
Li -0.4022 6.6588 -1.9279
Zn -0.1501 1.3631 -0.7195
Li 2.6984 3.2636 2.5306
Mg 2.1413 6.2524 -0.1394
Mg 0.4331 1.1435 2.0758
Zn 2.0799 0.0000 -0.4339
Li 2.9767 0.7371 3.8643
Li 0.4429 4.6728 2.1226
```

Values from the calculation:
- crystal system = orthorhombic
- total magnetic moment (μB/atom) = 0.000
- E_form (eV/atom) = -0.067
- raw total energy (eV/atom) = -1.775
- N(E_F) (states/eV/f.u.) = 4.22
- space-group type = Immm, No. 71